{"formula": "Ho2Ge4Rh3", "functional": "PBE", "state": "optimized geometry", "space_group": "Fmmm, No. 69", "e_form_ev_per_atom": -0.721, "dos_ef_per_ev_cell": 5.49, "lattice_angstrom": [[5.538, -0.115, 0.000], [-2.676, 4.850, 0.000], [-1.431, -2.367, 6.154]], "species": ["Rh", "Rh", "Rh", "Ge", "Ge", "Ge", "Ge", "Ho", "Ho"], "frac_coords": [[0.000, 0.000, 0.000], [0.500, 0.000, 0.000], [0.000, 0.500, 0.000], [0.328, 0.992, 0.320], [0.008, 0.672, 0.680], [0.672, 0.008, 0.680], [0.992, 0.328, 0.320], [0.632, 0.632, 0.265], [0.368, 0.368, 0.735]]}